Record 1
Material: Dy6InPt2
Method: DFT, PBE
State: relaxed

a b c (Å): 9.425 9.737 10.508
angles (deg): 90.00 90.00 90.00
Space group Immm (No. 71)
Inequivalent atoms, fractional coordinates:
Dy: 0.000 0.201 0.236 [8 per cell]
Dy: 0.197 0.500 0.170 [8 per cell]
Dy: 0.209 0.317 0.500 [8 per cell]
In: 0.000 0.000 0.000 [2 per cell]
In: 0.000 0.000 0.500 [2 per cell]
Pt: 0.000 0.340 0.000 [4 per cell]
Pt: 0.000 0.500 0.365 [4 per cell]

M_tot (μB/f.u.): 0.000
Total DFT energy (no corrections) (eV/atom): -5.45
DOS at the Fermi energy (states/eV/cell): 34.66
Calculated formation energy (kJ/mol of formula units): -642.7

Record 2
Material: CsSc2ZnSn
Method: DFT, PBE
State: relaxed

a b c (Å): 5.379 5.379 5.636
angles (deg): 90.00 90.00 90.00
Space group P4/mmm (No. 123)
Inequivalent atoms, fractional coordinates:
Cs: 0.000 0.000 0.000 [1 per cell]
Sc: 0.000 0.500 0.500 [2 per cell]
Zn: 0.000 0.000 0.500 [1 per cell]
Sn: 0.500 0.500 0.000 [1 per cell]

M_tot (μB/f.u.): 0.000
Total DFT energy (no corrections) (eV/atom): -3.21
DOS at the Fermi energy (states/eV/cell): 8.35
Calculated formation energy (kJ/mol of formula units): 264.0

Record 3
Material: La2Si2Tc
Method: DFT, PBE
State: relaxed

a b c (Å): 10.129 5.762 7.936
angles (deg): 90.00 101.54 90.00
Space group C2/c (No. 15)
Inequivalent atoms, fractional coordinates:
La: 0.152 0.106 0.163 [8 per cell]
Si: 0.109 0.393 0.497 [8 per cell]
Tc: 0.000 0.373 0.750 [4 per cell]

M_tot (μB/f.u.): 0.000
Total DFT energy (no corrections) (eV/atom): -6.81
Polymorph energy (0 for the lowest one) (meV/atom): 30
DOS at the Fermi energy (states/eV/cell): 18.54

Record 4
Material: Ce4TlCo
Method: DFT, PBE
State: relaxed

a b c (Å): 16.456 6.757 5.805
angles (deg): 90.00 109.18 90.00
Space group C2/m (No. 12)
Inequivalent atoms, fractional coordinates:
Ce: 0.000 0.227 0.000 [4 per cell]
Ce: 0.116 0.211 0.621 [8 per cell]
Ce: 0.194 0.500 0.201 [4 per cell]
Tl: 0.198 0.000 0.199 [4 per cell]
Co: 0.030 0.500 0.332 [4 per cell]

M_tot (μB/f.u.): 2.636
Total DFT energy (no corrections) (eV/atom): -5.68
Polymorph energy (0 for the lowest one) (meV/atom): 0
DOS at the Fermi energy (states/eV/cell): 68.26
Calculated formation energy (kJ/mol of formula units): -86.9

Number 3 is which compound? La2Si2Tc

Look up the DOS at the Fermi energy of the fourth one. 68.26 states/eV/cell

Please write out number 2 again, unchanged.
Material: CsSc2ZnSn
Method: DFT, PBE
State: relaxed

a b c (Å): 5.379 5.379 5.636
angles (deg): 90.00 90.00 90.00
Space group P4/mmm (No. 123)
Inequivalent atoms, fractional coordinates:
Cs: 0.000 0.000 0.000 [1 per cell]
Sc: 0.000 0.500 0.500 [2 per cell]
Zn: 0.000 0.000 0.500 [1 per cell]
Sn: 0.500 0.500 0.000 [1 per cell]

M_tot (μB/f.u.): 0.000
Total DFT energy (no corrections) (eV/atom): -3.21
DOS at the Fermi energy (states/eV/cell): 8.35
Calculated formation energy (kJ/mol of formula units): 264.0

What is the formula in the second record? CsSc2ZnSn